Model P:
MgAsSe2 | GGA-PBE | optimized geometry

Summary:
Density of states at the Fermi level, states/eV/cell: 2.0

CIF file:
```
data_MgAsSe2
_chemical_formula_sum 'Mg2 As2 Se4'
_space_group_name_H-M_alt 'I 4/m m m'
_space_group_IT_number 139
_space_group_name_Hall '-I 4 2'
_cell_length_a 5.6129
_cell_length_b 5.6129
_cell_length_c 5.4681
_cell_angle_alpha 90.00
_cell_angle_beta 90.00
_cell_angle_gamma 90.00
loop_
_atom_site_label
_atom_site_type_symbol
_atom_site_fract_x
_atom_site_fract_y
_atom_site_fract_z
_atom_site_occupancy
Mg1 Mg 0.0000 0.0000 0.0000 1
As1 As 0.0000 0.0000 0.5000 1
Se1 Se 0.0000 0.5000 0.0000 1
```



Model Q:
MgAsSe2 | GGA-PBE | optimized geometry

Summary:
Density of states at the Fermi level, states/eV/cell: 1.8

CIF file:
```
data_MgAsSe2
_chemical_formula_sum 'Mg1 As1 Se2'
_space_group_name_H-M_alt 'P 4/m m m'
_space_group_IT_number 123
_space_group_name_Hall '-P 4 2'
_cell_length_a 3.9153
_cell_length_b 3.9153
_cell_length_c 5.6389
_cell_angle_alpha 90.00
_cell_angle_beta 90.00
_cell_angle_gamma 90.00
loop_
_atom_site_label
_atom_site_type_symbol
_atom_site_fract_x
_atom_site_fract_y
_atom_site_fract_z
_atom_site_occupancy
Mg1 Mg 0.0000 0.0000 0.0000 1
As1 As 0.5000 0.5000 0.5000 1
Se1 Se 0.0000 0.0000 0.5000 1
Se2 Se 0.5000 0.5000 0.0000 1
```



Energy comparison, zero being the most stable, in meV per atom: model P 138; model Q 0.



Model P:
Mg3AsSe | GGA-PBE | optimized geometry

Summary:
Density of states at the Fermi level, states/eV/cell: 3.2

CIF file:
```
data_Mg3AsSe
_chemical_formula_sum 'Mg3 As1 Se1'
_space_group_name_H-M_alt 'P m -3 m'
_space_group_IT_number 221
_space_group_name_Hall '-P 4 2 3'
_cell_length_a 5.0265
_cell_length_b 5.0265
_cell_length_c 5.0265
_cell_angle_alpha 90.00
_cell_angle_beta 90.00
_cell_angle_gamma 90.00
loop_
_atom_site_label
_atom_site_type_symbol
_atom_site_fract_x
_atom_site_fract_y
_atom_site_fract_z
_atom_site_occupancy
Mg1 Mg 0.0000 0.0000 0.5000 1
As1 As 0.0000 0.0000 0.0000 1
Se1 Se 0.5000 0.5000 0.5000 1
```



Model Q:
Mg3AsSe | GGA-PBE | optimized geometry

Summary:
Density of states at the Fermi level, states/eV/cell: 3.5

CIF file:
```
data_Mg3AsSe
_chemical_formula_sum 'Mg3 As1 Se1'
_space_group_name_H-M_alt 'P m -3 m'
_space_group_IT_number 221
_space_group_name_Hall '-P 4 2 3'
_cell_length_a 5.0032
_cell_length_b 5.0032
_cell_length_c 5.0032
_cell_angle_alpha 90.00
_cell_angle_beta 90.00
_cell_angle_gamma 90.00
loop_
_atom_site_label
_atom_site_type_symbol
_atom_site_fract_x
_atom_site_fract_y
_atom_site_fract_z
_atom_site_occupancy
Mg1 Mg 0.0000 0.0000 0.5000 1
As1 As 0.5000 0.5000 0.5000 1
Se1 Se 0.0000 0.0000 0.0000 1
```



Energy comparison, zero being the most stable, in meV per atom: model P 0; model Q 175.



Model P:
MgSiAsSe2 | GGA-PBE | optimized geometry

Summary:
Density of states at the Fermi level, states/eV/cell: 4.8

CIF file:
```
data_MgSiAsSe2
_chemical_formula_sum 'Mg1 Si1 As1 Se2'
_space_group_name_H-M_alt 'P 4/m m m'
_space_group_IT_number 123
_space_group_name_Hall '-P 4 2'
_cell_length_a 5.0107
_cell_length_b 5.0107
_cell_length_c 4.9439
_cell_angle_alpha 90.00
_cell_angle_beta 90.00
_cell_angle_gamma 90.00
loop_
_atom_site_label
_atom_site_type_symbol
_atom_site_fract_x
_atom_site_fract_y
_atom_site_fract_z
_atom_site_occupancy
Mg1 Mg 0.0000 0.0000 0.0000 1
Si1 Si 0.5000 0.5000 0.5000 1
As1 As 0.0000 0.0000 0.5000 1
Se1 Se 0.0000 0.5000 0.0000 1
```



Model Q:
MgSiAsSe2 | GGA-PBE | optimized geometry

Summary:
Density of states at the Fermi level, states/eV/cell: 5.6

CIF file:
```
data_MgSiAsSe2
_chemical_formula_sum 'Mg1 Si1 As1 Se2'
_space_group_name_H-M_alt 'P 4/m m m'
_space_group_IT_number 123
_space_group_name_Hall '-P 4 2'
_cell_length_a 4.8813
_cell_length_b 4.8813
_cell_length_c 4.8034
_cell_angle_alpha 90.00
_cell_angle_beta 90.00
_cell_angle_gamma 90.00
loop_
_atom_site_label
_atom_site_type_symbol
_atom_site_fract_x
_atom_site_fract_y
_atom_site_fract_z
_atom_site_occupancy
Mg1 Mg 0.0000 0.0000 0.0000 1
Si1 Si 0.5000 0.5000 0.5000 1
As1 As 0.5000 0.5000 0.0000 1
Se1 Se 0.0000 0.5000 0.5000 1
```



Energy comparison, zero being the most stable, in meV per atom: model P 421; model Q 0.



Model P:
SrMgAs2Se | GGA-PBE | optimized geometry

Summary:
Density of states at the Fermi level, states/eV/cell: 5.9

CIF file:
```
data_SrMgAs2Se
_chemical_formula_sum 'Sr1 Mg1 As2 Se1'
_space_group_name_H-M_alt 'P 4/m m m'
_space_group_IT_number 123
_space_group_name_Hall '-P 4 2'
_cell_length_a 5.6206
_cell_length_b 5.6206
_cell_length_c 5.6330
_cell_angle_alpha 90.00
_cell_angle_beta 90.00
_cell_angle_gamma 90.00
loop_
_atom_site_label
_atom_site_type_symbol
_atom_site_fract_x
_atom_site_fract_y
_atom_site_fract_z
_atom_site_occupancy
Sr1 Sr 0.0000 0.0000 0.0000 1
Mg1 Mg 0.5000 0.5000 0.5000 1
As1 As 0.0000 0.5000 0.0000 1
Se1 Se 0.0000 0.0000 0.5000 1
```



Model Q:
SrMgAs2Se | GGA-PBE | optimized geometry

Summary:
Density of states at the Fermi level, states/eV/cell: 4.8

CIF file:
```
data_SrMgAs2Se
_chemical_formula_sum 'Sr1 Mg1 As2 Se1'
_space_group_name_H-M_alt 'P 4/m m m'
_space_group_IT_number 123
_space_group_name_Hall '-P 4 2'
_cell_length_a 5.0014
_cell_length_b 5.0014
_cell_length_c 5.3126
_cell_angle_alpha 90.00
_cell_angle_beta 90.00
_cell_angle_gamma 90.00
loop_
_atom_site_label
_atom_site_type_symbol
_atom_site_fract_x
_atom_site_fract_y
_atom_site_fract_z
_atom_site_occupancy
Sr1 Sr 0.0000 0.0000 0.0000 1
Mg1 Mg 0.5000 0.5000 0.5000 1
As1 As 0.0000 0.5000 0.5000 1
Se1 Se 0.5000 0.5000 0.0000 1
```



Energy comparison, zero being the most stable, in meV per atom: model P 918; model Q 0.



Model P:
SrMgAsSe2 | GGA-PBE | optimized geometry

Summary:
Density of states at the Fermi level, states/eV/cell: 4.4

CIF file:
```
data_SrMgAsSe2
_chemical_formula_sum 'Sr1 Mg1 As1 Se2'
_space_group_name_H-M_alt 'P 4/m m m'
_space_group_IT_number 123
_space_group_name_Hall '-P 4 2'
_cell_length_a 5.2365
_cell_length_b 5.2365
_cell_length_c 4.9127
_cell_angle_alpha 90.00
_cell_angle_beta 90.00
_cell_angle_gamma 90.00
loop_
_atom_site_label
_atom_site_type_symbol
_atom_site_fract_x
_atom_site_fract_y
_atom_site_fract_z
_atom_site_occupancy
Sr1 Sr 0.0000 0.0000 0.0000 1
Mg1 Mg 0.5000 0.5000 0.5000 1
As1 As 0.5000 0.5000 0.0000 1
Se1 Se 0.0000 0.5000 0.5000 1
```



Model Q:
SrMgAsSe2 | GGA-PBE | optimized geometry

Summary:
Density of states at the Fermi level, states/eV/cell: 6.7

CIF file:
```
data_SrMgAsSe2
_chemical_formula_sum 'Sr1 Mg1 As1 Se2'
_space_group_name_H-M_alt 'P 4/m m m'
_space_group_IT_number 123
_space_group_name_Hall '-P 4 2'
_cell_length_a 5.6730
_cell_length_b 5.6730
_cell_length_c 5.6236
_cell_angle_alpha 90.00
_cell_angle_beta 90.00
_cell_angle_gamma 90.00
loop_
_atom_site_label
_atom_site_type_symbol
_atom_site_fract_x
_atom_site_fract_y
_atom_site_fract_z
_atom_site_occupancy
Sr1 Sr 0.0000 0.0000 0.0000 1
Mg1 Mg 0.5000 0.5000 0.5000 1
As1 As 0.0000 0.0000 0.5000 1
Se1 Se 0.0000 0.5000 0.0000 1
```



Energy comparison, zero being the most stable, in meV per atom: model P 0; model Q 900.



Model P:
MgTaAsSe2 | GGA-PBE | optimized geometry

Summary:
Density of states at the Fermi level, states/eV/cell: 6.8

CIF file:
```
data_MgTaAsSe2
_chemical_formula_sum 'Mg1 Ta1 As1 Se2'
_space_group_name_H-M_alt 'P 4/m m m'
_space_group_IT_number 123
_space_group_name_Hall '-P 4 2'
_cell_length_a 4.8245
_cell_length_b 4.8245
_cell_length_c 4.8634
_cell_angle_alpha 90.00
_cell_angle_beta 90.00
_cell_angle_gamma 90.00
loop_
_atom_site_label
_atom_site_type_symbol
_atom_site_fract_x
_atom_site_fract_y
_atom_site_fract_z
_atom_site_occupancy
Mg1 Mg 0.0000 0.0000 0.0000 1
Ta1 Ta 0.5000 0.5000 0.5000 1
As1 As 0.0000 0.0000 0.5000 1
Se1 Se 0.0000 0.5000 0.0000 1
```



Model Q:
MgTaAsSe2 | GGA-PBE | optimized geometry

Summary:
Density of states at the Fermi level, states/eV/cell: 2.4

CIF file:
```
data_MgTaAsSe2
_chemical_formula_sum 'Mg1 Ta1 As1 Se2'
_space_group_name_H-M_alt 'P 4/m m m'
_space_group_IT_number 123
_space_group_name_Hall '-P 4 2'
_cell_length_a 4.9925
_cell_length_b 4.9925
_cell_length_c 5.1556
_cell_angle_alpha 90.00
_cell_angle_beta 90.00
_cell_angle_gamma 90.00
loop_
_atom_site_label
_atom_site_type_symbol
_atom_site_fract_x
_atom_site_fract_y
_atom_site_fract_z
_atom_site_occupancy
Mg1 Mg 0.0000 0.0000 0.0000 1
Ta1 Ta 0.5000 0.5000 0.5000 1
As1 As 0.5000 0.5000 0.0000 1
Se1 Se 0.0000 0.5000 0.5000 1
```



Energy comparison, zero being the most stable, in meV per atom: model P 979; model Q 0.